MgMo PBE optimized geometry; space-group type = P2_1/m; crystal system = monoclinic; energy of formation from the pure elements = 5.6 kcal/mol of atoms; total moment = 0.0 μB/f.u.; polymorph energy (0 for the lowest one) = 0.057 eV per atom
1.0
2.763 0.000 0.000
0.000 4.518 0.000
-0.858 0.000 5.572
Mg Mo
2 2
Cartesian
0.033 1.129 2.064
1.871 3.388 3.508
1.055 3.388 0.574
0.850 1.129 4.998



Mg5Mo PBE optimized geometry; space-group type = P6/mmm; crystal system = hexagonal; energy of formation from the pure elements = 14.4 kcal/mol of atoms; total moment = 3.7 μB/f.u.; polymorph energy (0 for the lowest one) = 0.440 eV per atom
1.0
5.632 0.000 0.000
-2.816 4.877 0.000
0.000 0.000 4.985
Mg Mo
5 1
Cartesian
-1.408 2.439 0.000
0.000 3.252 2.492
2.816 0.000 0.000
1.408 2.439 0.000
2.816 1.626 2.492
0.000 0.000 2.492



MgMo PBE optimized geometry; space-group type = P6_3/mmc; crystal system = hexagonal; energy of formation from the pure elements = 48.7 kcal/mol of atoms; total moment = 2.0 μB/f.u.; polymorph energy (0 for the lowest one) = 1.924 eV per atom
1.0
4.671 0.000 0.000
-2.335 4.045 0.000
0.000 0.000 5.295
Mg Mo
2 2
Cartesian
0.000 2.697 1.324
2.335 1.348 3.971
0.000 2.697 3.971
2.335 1.348 1.324



MgMo3 PBE optimized geometry; space-group type = Cmmm; crystal system = orthorhombic; energy of formation from the pure elements = 8.9 kcal/mol of atoms; total moment = 0.0 μB/f.u.; polymorph energy (0 for the lowest one) = 0.229 eV per atom
1.0
5.468 0.000 0.000
0.000 9.055 0.000
0.000 0.000 2.653
Mg Mo
2 6
Cartesian
0.000 0.000 0.000
2.734 4.528 0.000
0.000 4.528 0.000
1.367 2.264 1.326
1.367 6.791 1.326
2.734 0.000 0.000
4.101 2.264 1.326
4.101 6.791 1.326



MgMo3 PBE optimized geometry; space-group type = Pmmm; crystal system = orthorhombic; energy of formation from the pure elements = 8.1 kcal/mol of atoms; total moment = 0.0 μB/f.u.; polymorph energy (0 for the lowest one) = 0.195 eV per atom
1.0
2.635 0.000 0.000
0.000 4.532 0.000
0.000 0.000 5.489
Mg Mo
1 3
Cartesian
0.000 0.000 0.000
0.000 0.000 2.744
1.317 2.266 1.378
1.317 2.266 4.111



MgMo3 PBE optimized geometry; space-group type = I4/mmm; crystal system = tetragonal; energy of formation from the pure elements = 9.6 kcal/mol of atoms; total moment = 0.0 μB/f.u.; polymorph energy (0 for the lowest one) = 0.260 eV per atom
1.0
3.949 0.000 0.000
0.000 3.949 0.000
0.000 0.000 16.668
Mg Mo
4 12
Cartesian
0.000 0.000 2.097
0.000 0.000 14.571
1.975 1.975 6.237
1.975 1.975 10.430
0.000 0.000 6.279
0.000 0.000 10.388
0.000 1.975 0.000
0.000 1.975 4.167
0.000 1.975 8.334
0.000 1.975 12.501
1.975 0.000 0.000
1.975 0.000 4.167
1.975 0.000 8.334
1.975 0.000 12.501
1.975 1.975 2.054
1.975 1.975 14.613



MgMo3 PBE optimized geometry; space-group type = Immm; crystal system = orthorhombic; energy of formation from the pure elements = 6.0 kcal/mol of atoms; total moment = 0.0 μB/f.u.; polymorph energy (0 for the lowest one) = 0.105 eV per atom
1.0
3.201 0.000 0.000
0.000 4.552 0.000
0.000 0.000 8.989
Mg Mo
2 6
Cartesian
0.000 0.000 0.000
1.601 2.276 4.495
0.000 0.000 4.495
0.000 2.276 2.093
0.000 2.276 6.896
1.601 0.000 2.401
1.601 0.000 6.588
1.601 2.276 0.000



MgMo3 PBE optimized geometry; space-group type = C2/m; crystal system = monoclinic; energy of formation from the pure elements = 8.6 kcal/mol of atoms; total moment = 0.0 μB/f.u.; polymorph energy (0 for the lowest one) = 0.218 eV per atom
1.0
9.377 0.000 0.000
0.000 2.642 0.000
-0.139 0.000 5.301
Mg Mo
2 6
Cartesian
0.000 0.000 0.000
4.689 1.321 0.000
-0.070 1.321 2.650
2.272 1.321 1.310
2.277 0.000 3.991
4.619 0.000 2.650
6.960 0.000 1.310
6.966 1.321 3.991